{
  "formula": "NpGeRu",
  "functional": "PBE",
  "state": "relaxed",
  "delta_e_f_mev_per_atom": -210,
  "total_energy_ev_per_atom": -9.15,
  "sg": "P-6m2 (187)",
  "vol_a3_per_cell": 55.07,
  "magnetic_moment_mub_per_cell": 2.5,
  "cell": [[4.4242, 0.0000, 0.0000], [-2.2121, 3.8315, 0.0000], [0.0000, 0.0000, 3.2488]],
  "species": ["Np", "Ge", "Ru"],
  "frac_coords": [[0.0000, 0.0000, 0.0000], [0.3333, 0.6667, 0.5000], [0.6667, 0.3333, 0.5000]]
}